CdBiHPd2 | PBE | optimized geometry

Calculated values
Symmetry: P4/mmm (123)
Uncorrected energy: -18.7 eV per formula unit
DOS at the Fermi energy: 1.988 states/eV/f.u.

a = 4.373 Å, b = 4.373 Å, c = 4.259 Å
α = 90.00°, β = 90.00°, γ = 90.00°
Element x y z (fractional)
H 0.000 0.000 0.000
Pd 0.500 0.000 0.000
Pd 0.000 0.500 0.000
Cd 0.000 0.000 0.500
Bi 0.500 0.500 0.500

***

Ba6Ag2HPt | PBE | optimized geometry

Calculated values
Symmetry: P2_1/c (14)
Uncorrected energy: -30.3 eV per formula unit
DOS at the Fermi energy: 6.523 states/eV/f.u.

a = 7.835 Å, b = 8.698 Å, c = 11.567 Å
α = 90.00°, β = 90.02°, γ = 90.00°
Element x y z (fractional)
Ba 0.328 0.683 0.439
Ba 0.322 0.684 0.060
Ba 0.822 0.816 0.560
Ba 0.627 0.030 0.254
Ba 0.373 0.970 0.746
Ba 0.672 0.317 0.561
Ba 0.172 0.183 0.061
Ba 0.678 0.316 0.940
Ba 0.873 0.530 0.246
Ba 0.828 0.817 0.939
Ba 0.127 0.470 0.754
Ba 0.178 0.184 0.440
Ag 0.951 0.107 0.750
Ag 0.049 0.893 0.250
Ag 0.549 0.607 0.750
Ag 0.451 0.393 0.250
H 0.000 0.500 0.000
H 0.500 0.000 0.500
Pt 0.000 0.500 0.500
Pt 0.500 0.000 0.000

***

K2HfU3O12 | PBE | optimized geometry

Calculated values
Symmetry: R-3m (166)
Raw formation energy: -2999 meV/atom
Uncorrected energy: -159.5 eV per formula unit
DOS at the Fermi energy: 0.000 states/eV/f.u.

a = 7.723 Å, b = 7.723 Å, c = 7.723 Å
α = 62.11°, β = 62.11°, γ = 62.11°
Element x y z (fractional)
O 0.687 0.063 0.063
O 0.063 0.687 0.063
O 0.313 0.937 0.937
O 0.055 0.684 0.684
O 0.684 0.684 0.055
O 0.937 0.313 0.937
O 0.937 0.937 0.313
O 0.316 0.945 0.316
O 0.316 0.316 0.945
O 0.063 0.063 0.687
O 0.684 0.055 0.684
O 0.945 0.316 0.316
U 0.500 0.000 0.000
U 0.000 0.000 0.500
U 0.000 0.500 0.000
K 0.662 0.662 0.662
K 0.338 0.338 0.338
Hf 0.000 0.000 0.000

***

TlPbSe2Br | PBE | optimized geometry

Calculated values
Symmetry: P4/mmm (123)
Raw formation energy: -152 meV/atom
Uncorrected energy: -15.5 eV per formula unit
DOS at the Fermi energy: 1.756 states/eV/f.u.
Energy above the lowest structure with this stoichiometry: 0.000 eV/atom

a = 5.456 Å, b = 5.456 Å, c = 5.936 Å
α = 90.00°, β = 90.00°, γ = 90.00°
Element x y z (fractional)
Se 0.000 0.500 0.000
Se 0.500 0.000 0.000
Br 0.000 0.000 0.500
Pb 0.000 0.000 0.000
Tl 0.500 0.500 0.500

***

Ga3RuCl | PBE | optimized geometry

Calculated values
Symmetry: Pm-3m (221)
Raw formation energy: -282 meV/atom
Uncorrected energy: -21.6 eV per formula unit
DOS at the Fermi energy: 1.481 states/eV/f.u.
Energy above the lowest structure with this stoichiometry: 0.000 eV/atom

a = 4.849 Å, b = 4.849 Å, c = 4.849 Å
α = 90.00°, β = 90.00°, γ = 90.00°
Element x y z (fractional)
Ga 0.000 0.000 0.500
Ga 0.500 0.000 0.000
Ga 0.000 0.500 0.000
Ru 0.000 0.000 0.000
Cl 0.500 0.500 0.500

***

Sr2WBr | PBE | optimized geometry

Calculated values
Symmetry: Imm2 (44)
Raw formation energy: 496 meV/atom
Uncorrected energy: -16.0 eV per formula unit
DOS at the Fermi energy: 4.319 states/eV/f.u.
Energy above the lowest structure with this stoichiometry: 0.322 eV/atom

a = 6.813 Å, b = 6.813 Å, c = 6.813 Å
α = 151.74°, β = 131.18°, γ = 57.37°
Last column: magnetic moment on the atom in μB.
Element x y z (fractional)
Sr 0.719 0.219 0.500  0.00
Sr 0.028 0.028 0.000  -0.01
Br 0.282 0.782 0.500  0.00
W 0.470 0.470 0.000  0.41

***

HfTcBr3 | PBE | optimized geometry

Calculated values
Symmetry: Pm-3m (221)
Raw formation energy: 806 meV/atom
Uncorrected energy: -21.3 eV per formula unit
DOS at the Fermi energy: 9.319 states/eV/f.u.
Energy above the lowest structure with this stoichiometry: 0.368 eV/atom

a = 5.003 Å, b = 5.003 Å, c = 5.003 Å
α = 90.00°, β = 90.00°, γ = 90.00°
Element x y z (fractional)
Tc 0.000 0.000 0.000
Hf 0.500 0.500 0.500
Br 0.500 0.000 0.000
Br 0.000 0.500 0.000
Br 0.000 0.000 0.500

***

RbGdH | PBE | optimized geometry

Calculated values
Symmetry: Amm2 (38)
Uncorrected energy: -18.0 eV per formula unit
DOS at the Fermi energy: 3.939 states/eV/f.u.

a = 3.697 Å, b = 3.697 Å, c = 14.364 Å
α = 90.00°, β = 90.00°, γ = 120.00°
Last column: magnetic moment on the atom in μB.
Element x y z (fractional)
Gd 0.284 0.567 0.891  7.30
Gd 0.284 0.567 0.109  7.30
H 0.617 0.235 0.000  -0.02
H 0.272 0.543 0.500  0.00
Rb 0.605 0.210 0.630  0.01
Rb 0.605 0.210 0.370  0.01

***

CsInBr4 | PBE | optimized geometry

Calculated values
Symmetry: P2_1/c (14)
Raw formation energy: -1203 meV/atom
Uncorrected energy: -17.5 eV per formula unit
DOS at the Fermi energy: 0.000 states/eV/f.u.
Energy above the lowest structure with this stoichiometry: 0.000 eV/atom

a = 9.743 Å, b = 10.590 Å, c = 11.012 Å
α = 90.00°, β = 90.00°, γ = 103.37°
Element x y z (fractional)
Br 0.218 0.635 0.263
Br 0.698 0.011 0.890
Br 0.718 0.135 0.237
Br 0.302 0.989 0.110
Br 0.419 0.210 0.484
Br 0.963 0.895 0.344
Br 0.282 0.865 0.763
Br 0.802 0.489 0.390
Br 0.919 0.710 0.016
Br 0.198 0.511 0.610
Br 0.081 0.290 0.984
Br 0.537 0.605 0.844
Br 0.463 0.395 0.156
Br 0.581 0.790 0.516
Br 0.782 0.365 0.737
Br 0.037 0.105 0.656
In 0.402 0.695 0.678
In 0.902 0.195 0.822
In 0.098 0.805 0.178
In 0.598 0.305 0.322
Cs 0.407 0.225 0.832
Cs 0.907 0.725 0.668
Cs 0.093 0.275 0.332
Cs 0.593 0.775 0.168

***

Gd2ScMn | PBE | optimized geometry

Calculated values
Symmetry: P4/mmm (123)
Formation enthalpy at 0 K: 70 kJ/mol of formula units
Uncorrected energy: -42.9 eV per formula unit
DOS at the Fermi energy: 5.686 states/eV/f.u.

a = 3.643 Å, b = 3.643 Å, c = 7.674 Å
α = 90.00°, β = 90.00°, γ = 90.00°
Last column: magnetic moment on the atom in μB.
Element x y z (fractional)
Gd 0.000 0.000 0.223  6.94
Gd 0.000 0.000 0.777  6.94
Sc 0.500 0.500 0.500  0.16
Mn 0.500 0.500 0.000  3.43

***

La6PrSm | PBE | optimized geometry

Calculated values
Symmetry: P4/mmm (123)
Formation enthalpy at 0 K: 3 kJ/mol of formula units
Uncorrected energy: -39.0 eV per formula unit
DOS at the Fermi energy: 12.712 states/eV/f.u.

a = 5.241 Å, b = 5.241 Å, c = 10.483 Å
α = 90.00°, β = 90.00°, γ = 90.00°
Element x y z (fractional)
La 0.000 0.500 0.251
La 0.500 0.500 0.000
La 0.500 0.500 0.500
La 0.500 0.000 0.251
La 0.500 0.000 0.749
La 0.000 0.500 0.749
Pr 0.000 0.000 0.000
Sm 0.000 0.000 0.500

***

SbPtN2F | PBE | optimized geometry

Calculated values
Symmetry: P4/mmm (123)
Raw formation energy: 808 meV/atom
Uncorrected energy: -24.6 eV per formula unit
DOS at the Fermi energy: 3.829 states/eV/f.u.
Energy above the lowest structure with this stoichiometry: 0.000 eV/atom

a = 4.018 Å, b = 4.018 Å, c = 4.251 Å
α = 90.00°, β = 90.00°, γ = 90.00°
Element x y z (fractional)
N 0.000 0.500 0.000
N 0.500 0.000 0.000
F 0.000 0.000 0.500
Pt 0.000 0.000 0.000
Sb 0.500 0.500 0.500